VASP calculation (PBE) on crystalline Ac3Sb2O3 at its relaxed geometry.

Output
- DOS at the Fermi energy (states/eV/f.u.) = 3.109
- calculated total energy (eV/atom) = -6.299

abc: 3.3019 8.6065 8.6065
angles: 120.00 90.00 90.00
Fractional positions:
Ac 0.5000 0.2454 0.0000
O 0.0000 0.8137 0.0000
Ac 0.5000 0.7546 0.7546
Sb 0.0000 0.6667 0.3333
O 0.0000 0.0000 0.8137
Ac 0.5000 0.0000 0.2454
O 0.0000 0.1863 0.1863
Sb 0.0000 0.3333 0.6667